Record 1
The following is a DFT calculation (GGA-PBE) of an optimized crystal structure of Mg6Zn2In.

abc: 8.644 9.137 9.733
angles: 90.00 90.00 90.00
Space group Immm (No. 71)
Asymmetric unit:
Mg 0.000 0.212 0.175
Mg 0.190 0.218 0.500
Mg 0.205 0.500 0.248
Zn 0.000 0.000 0.371
Zn 0.152 0.000 0.000
In 0.000 0.500 0.000
In 0.000 0.500 0.500

E: -1.7065 eV per atom

---

Record 2
The following is a DFT calculation (GGA-PBE) of an optimized crystal structure of Pr6TlTe2Se3.

abc: 19.277 4.318 8.984
angles: 90.00 103.44 90.00
Space group C2/m (No. 12)
Asymmetric unit:
Pr 0.004 0.000 0.240
Pr 0.159 0.500 0.100
Pr 0.169 0.500 0.569
Tl 0.000 0.500 0.500
Te 0.169 0.000 0.838
Se 0.000 0.500 0.000
Se 0.168 0.000 0.335

formation energy from raw total energies: -1.465 eV per atom

---

Record 3
The following is a DFT calculation (GGA-PBE) of an optimized crystal structure of BaSnTeS6.

abc: 6.5650 6.5650 6.9696
angles: 90.00 90.00 120.00
Space group P312 (No. 149)
Asymmetric unit:
Ba 0.0000 0.0000 0.0000
Sn 0.3333 0.6667 0.5000
Te 0.6667 0.3333 0.5000
S 0.3859 0.0053 0.7162

formation energy from raw total energies: -0.411 eV per atom

---

Record 4
The following is a DFT calculation (GGA-PBE) of an optimized crystal structure of TiNb3Tc.

abc: 4.791 4.791 4.791
angles: 90.00 90.00 90.00
Space group Pm-3m (No. 221)
Asymmetric unit:
Ti 0.000 0.000 0.000
Nb 0.000 0.500 0.500
Tc 0.500 0.500 0.500

energy relative to the lowest polymorph listed for this composition: 1.0357 eV/atom

---

- Number 2 is which compound?
  Pr6TlTe2Se3

---

- What is the formula in the fourth record?
  TiNb3Tc

---

- Number 2 is which compound?
  Pr6TlTe2Se3